*1*
# Sm12Ho7Sc, optimized geometry, DFT GGA-PBE
data_Sm12Ho7Sc
_chemical_formula_sum 'Sm36 Ho21 Sc3'
_space_group_name_H-M_alt 'R -3 m'
_space_group_IT_number 166
_space_group_name_Hall '-R 3 2"'
_cell_length_a 19.4895
_cell_length_b 19.4895
_cell_length_c 6.1336
_cell_angle_alpha 90.00
_cell_angle_beta 90.00
_cell_angle_gamma 120.00
loop_
_atom_site_label
_atom_site_fract_x
_atom_site_fract_y
_atom_site_fract_z
Sm1 0.0000 0.4136 0.0000
Sm2 0.0983 0.5491 0.4683
Ho1 0.0000 0.0000 0.0000
Ho2 0.0803 0.1605 0.3001
Sc1 0.0000 0.0000 0.5000
# N(E_F) (states/eV per atom): 1.399



*2*
# Sm12Ho7Sc, optimized geometry, DFT GGA-PBE
data_Sm12Ho7Sc
_chemical_formula_sum 'Sm36 Ho21 Sc3'
_space_group_name_H-M_alt 'R -3'
_space_group_IT_number 148
_space_group_name_Hall '-R 3'
_cell_length_a 15.0685
_cell_length_b 15.0685
_cell_length_c 9.9428
_cell_angle_alpha 90.00
_cell_angle_beta 90.00
_cell_angle_gamma 120.00
loop_
_atom_site_label
_atom_site_fract_x
_atom_site_fract_y
_atom_site_fract_z
Sm1 0.0189 0.7721 0.0525
Sm2 0.0486 0.8660 0.7390
Ho1 0.0000 0.0000 0.0000
Ho2 0.0694 0.8149 0.4324
Sc1 0.0000 0.0000 0.5000
# N(E_F) (states/eV per atom): 1.569



Structures ranked by computed energy, the most stable listed first: *2*, *1*.



*1*
# Sm6HoSc3, optimized geometry, DFT GGA-PBE
data_Sm6HoSc3
_chemical_formula_sum 'Sm24 Ho4 Sc12'
_space_group_name_H-M_alt 'C m c 21'
_space_group_IT_number 36
_space_group_name_Hall 'C 2c -2'
_cell_length_a 9.507
_cell_length_b 20.720
_cell_length_c 6.283
_cell_angle_alpha 90.00
_cell_angle_beta 90.00
_cell_angle_gamma 90.00
loop_
_atom_site_label
_atom_site_fract_x
_atom_site_fract_y
_atom_site_fract_z
Sm1 0.000 0.015 0.000
Sm2 0.000 0.302 0.022
Sm3 0.176 0.281 0.543
Sm4 0.179 0.443 0.807
Ho1 0.000 0.154 0.236
Sc1 0.000 0.417 0.325
Sc2 0.167 0.126 0.710
# N(E_F) (states/eV per atom): 1.543



*2*
# Sm6HoSc3, optimized geometry, DFT GGA-PBE
data_Sm6HoSc3
_chemical_formula_sum 'Sm18 Ho3 Sc9'
_space_group_name_H-M_alt 'R 3'
_space_group_IT_number 146
_space_group_name_Hall 'R 3'
_cell_length_a 9.7036
_cell_length_b 9.7036
_cell_length_c 11.5327
_cell_angle_alpha 90.00
_cell_angle_beta 90.00
_cell_angle_gamma 120.00
loop_
_atom_site_label
_atom_site_fract_x
_atom_site_fract_y
_atom_site_fract_z
Sm1 0.0002 0.3383 0.0000
Sm2 0.0001 0.6644 0.4999
Ho1 0.0000 0.0000 0.9994
Sc1 0.0000 0.0000 0.2578
Sc2 0.0000 0.0000 0.4993
Sc3 0.0000 0.0000 0.7406
# N(E_F) (states/eV per atom): 1.913



Structures ranked by computed energy, the most stable listed first: *1*, *2*.



*1*
# Sm8Ho6Sc, optimized geometry, DFT GGA-PBE
data_Sm8Ho6Sc
_chemical_formula_sum 'Sm24 Ho18 Sc3'
_space_group_name_H-M_alt 'R -3'
_space_group_IT_number 148
_space_group_name_Hall '-R 3'
_cell_length_a 9.7745
_cell_length_b 9.7745
_cell_length_c 17.6165
_cell_angle_alpha 90.00
_cell_angle_beta 90.00
_cell_angle_gamma 120.00
loop_
_atom_site_label
_atom_site_fract_x
_atom_site_fract_y
_atom_site_fract_z
Sm1 0.0000 0.0000 0.0900
Sm2 0.0576 0.2371 0.6713
Ho1 0.0384 0.2953 0.1767
Sc1 0.0000 0.0000 0.5000
# N(E_F) (states/eV per atom): 1.458



*2*
# Sm8Ho6Sc, optimized geometry, DFT GGA-PBE
data_Sm8Ho6Sc
_chemical_formula_sum 'Sm8 Ho6 Sc1'
_space_group_name_H-M_alt 'P -3'
_space_group_IT_number 147
_space_group_name_Hall '-P 3'
_cell_length_a 9.8724
_cell_length_b 9.8724
_cell_length_c 5.8099
_cell_angle_alpha 90.00
_cell_angle_beta 90.00
_cell_angle_gamma 120.00
loop_
_atom_site_label
_atom_site_fract_x
_atom_site_fract_y
_atom_site_fract_z
Sm1 0.0516 0.2727 0.2646
Sm2 0.3333 0.6667 0.2657
Ho1 0.0920 0.4719 0.7547
Sc1 0.0000 0.0000 0.0000
# N(E_F) (states/eV per atom): 1.647



Structures ranked by computed energy, the most stable listed first: *2*, *1*.



*1*
# Sm2Ho3Sc3, optimized geometry, DFT GGA-PBE
data_Sm2Ho3Sc3
_chemical_formula_sum 'Sm6 Ho9 Sc9'
_space_group_name_H-M_alt 'R -3 m'
_space_group_IT_number 166
_space_group_name_Hall '-R 3 2"'
_cell_length_a 6.1331
_cell_length_b 6.1331
_cell_length_c 22.6144
_cell_angle_alpha 90.00
_cell_angle_beta 90.00
_cell_angle_gamma 120.00
loop_
_atom_site_label
_atom_site_fract_x
_atom_site_fract_y
_atom_site_fract_z
Sm1 0.0000 0.0000 0.2090
Ho1 0.0000 0.0000 0.0713
Ho2 0.0000 0.0000 0.5000
Sc1 0.0000 0.5000 0.0000
# N(E_F) (states/eV per atom): 2.411



*2*
# Sm2Ho3Sc3, optimized geometry, DFT GGA-PBE
data_Sm2Ho3Sc3
_chemical_formula_sum 'Sm4 Ho6 Sc6'
_space_group_name_H-M_alt 'C 1 2/m 1'
_space_group_IT_number 12
_space_group_name_Hall '-C 2y'
_cell_length_a 23.024
_cell_length_b 3.485
_cell_length_c 5.988
_cell_angle_alpha 90.00
_cell_angle_beta 104.83
_cell_angle_gamma 90.00
loop_
_atom_site_label
_atom_site_fract_x
_atom_site_fract_y
_atom_site_fract_z
Sm1 0.246 0.000 0.242
Ho1 0.000 0.000 0.000
Ho2 0.122 0.000 0.462
Sc1 0.000 0.500 0.500
Sc2 0.122 0.500 0.955
# N(E_F) (states/eV per atom): 1.545



Structures ranked by computed energy, the most stable listed first: *2*, *1*.



*1*
# SmHoSc, optimized geometry, DFT GGA-PBE
data_SmHoSc
_chemical_formula_sum 'Sm2 Ho2 Sc2'
_space_group_name_H-M_alt 'I 4 m m'
_space_group_IT_number 107
_space_group_name_Hall 'I 4 -2'
_cell_length_a 3.494
_cell_length_b 3.494
_cell_length_c 14.570
_cell_angle_alpha 90.00
_cell_angle_beta 90.00
_cell_angle_gamma 90.00
loop_
_atom_site_label
_atom_site_fract_x
_atom_site_fract_y
_atom_site_fract_z
Sm1 0.000 0.000 0.000
Ho1 0.000 0.000 0.323
Sc1 0.000 0.000 0.663
# N(E_F) (states/eV per atom): 1.581



*2*
# SmHoSc, optimized geometry, DFT GGA-PBE
data_SmHoSc
_chemical_formula_sum 'Sm2 Ho2 Sc2'
_space_group_name_H-M_alt 'P 4/n m m'
_space_group_IT_number 129
_cell_length_a 4.735
_cell_length_b 4.735
_cell_length_c 8.390
_cell_angle_alpha 90.00
_cell_angle_beta 90.00
_cell_angle_gamma 90.00
loop_
_space_group_symop_operation_xyz
'x,y,z'
'-x,-y,-z'
'-y+1/2,x,z'
'y+1/2,-x,-z'
'-x+1/2,-y+1/2,z'
'x+1/2,y+1/2,-z'
'y,-x+1/2,z'
'-y,x+1/2,-z'
'x+1/2,-y,-z'
'-x+1/2,y,z'
'-y,-x,-z'
'y,x,z'
'-x,y+1/2,-z'
'x,-y+1/2,z'
'y+1/2,x+1/2,-z'
'-y+1/2,-x+1/2,z'
loop_
_atom_site_label
_atom_site_fract_x
_atom_site_fract_y
_atom_site_fract_z
Sm1 0.250 0.750 0.000
Ho1 0.250 0.250 0.314
Sc1 0.250 0.250 0.708
# N(E_F) (states/eV per atom): 1.460



Structures ranked by computed energy, the most stable listed first: *1*, *2*.



*1*
# Sm8HoSc2, optimized geometry, DFT GGA-PBE
data_Sm8HoSc2
_chemical_formula_sum 'Sm16 Ho2 Sc4'
_space_group_name_H-M_alt 'C 1 2/m 1'
_space_group_IT_number 12
_space_group_name_Hall '-C 2y'
_cell_length_a 8.963
_cell_length_b 16.037
_cell_length_c 5.842
_cell_angle_alpha 90.00
_cell_angle_beta 122.30
_cell_angle_gamma 90.00
loop_
_atom_site_label
_atom_site_fract_x
_atom_site_fract_y
_atom_site_fract_z
Sm1 0.000 0.208 0.000
Sm2 0.078 0.500 0.794
Sm3 0.216 0.119 0.672
Ho1 0.000 0.000 0.000
Sc1 0.000 0.310 0.500
# N(E_F) (states/eV per atom): 1.345



*2*
# Sm8HoSc2, optimized geometry, DFT GGA-PBE
data_Sm8HoSc2
_chemical_formula_sum 'Sm16 Ho2 Sc4'
_space_group_name_H-M_alt 'I m m m'
_space_group_IT_number 71
_space_group_name_Hall '-I 2 2'
_cell_length_a 5.472
_cell_length_b 8.347
_cell_length_c 15.582
_cell_angle_alpha 90.00
_cell_angle_beta 90.00
_cell_angle_gamma 90.00
loop_
_atom_site_label
_atom_site_fract_x
_atom_site_fract_y
_atom_site_fract_z
Sm1 0.000 0.000 0.161
Sm2 0.000 0.203 0.357
Sm3 0.000 0.301 0.000
Ho1 0.000 0.500 0.500
Sc1 0.000 0.500 0.201
# N(E_F) (states/eV per atom): 1.686



Structures ranked by computed energy, the most stable listed first: *2*, *1*.



*1*
# Sm5Ho4Sc2, optimized geometry, DFT GGA-PBE
data_Sm5Ho4Sc2
_chemical_formula_sum 'Sm5 Ho4 Sc2'
_space_group_name_H-M_alt 'P 1 2/m 1'
_space_group_IT_number 10
_space_group_name_Hall '-P 2y'
_cell_length_a 8.741
_cell_length_b 3.491
_cell_length_c 11.341
_cell_angle_alpha 90.00
_cell_angle_beta 93.84
_cell_angle_gamma 90.00
loop_
_atom_site_label
_atom_site_fract_x
_atom_site_fract_y
_atom_site_fract_z
Sm1 0.000 0.000 0.000
Sm2 0.071 0.000 0.303
Sm3 0.311 0.000 0.837
Ho1 0.234 0.500 0.555
Ho2 0.338 0.500 0.120
Sc1 0.442 0.000 0.368
# N(E_F) (states/eV per atom): 1.566



*2*
# Sm5Ho4Sc2, optimized geometry, DFT GGA-PBE
data_Sm5Ho4Sc2
_chemical_formula_sum 'Sm10 Ho8 Sc4'
_space_group_name_H-M_alt 'C 1 2/m 1'
_space_group_IT_number 12
_space_group_name_Hall '-C 2y'
_cell_length_a 23.808
_cell_length_b 3.535
_cell_length_c 8.904
_cell_angle_alpha 90.00
_cell_angle_beta 107.95
_cell_angle_gamma 90.00
loop_
_atom_site_label
_atom_site_fract_x
_atom_site_fract_y
_atom_site_fract_z
Sm1 0.000 0.000 0.000
Sm2 0.127 0.500 0.964
Sm3 0.173 0.500 0.422
Ho1 0.015 0.500 0.331
Ho2 0.231 0.000 0.812
Sc1 0.096 0.000 0.627
# N(E_F) (states/eV per atom): 1.672



Structures ranked by computed energy, the most stable listed first: *1*, *2*.



*1*
# Sm3Ho7Sc, optimized geometry, DFT GGA-PBE
data_Sm3Ho7Sc
_chemical_formula_sum 'Sm3 Ho7 Sc1'
_space_group_name_H-M_alt 'P 3 m 1'
_space_group_IT_number 156
_space_group_name_Hall 'P 3 -2"'
_cell_length_a 6.9894
_cell_length_b 6.9894
_cell_length_c 8.5549
_cell_angle_alpha 90.00
_cell_angle_beta 90.00
_cell_angle_gamma 120.00
loop_
_atom_site_label
_atom_site_fract_x
_atom_site_fract_y
_atom_site_fract_z
Sm1 0.0016 0.5008 0.0000
Ho1 0.1683 0.3366 0.6581
Ho2 0.3353 0.1677 0.3339
Ho3 0.6667 0.3333 0.6600
Sc1 0.3333 0.6667 0.3369
# N(E_F) (states/eV per atom): 1.498



*2*
# Sm3Ho7Sc, optimized geometry, DFT GGA-PBE
data_Sm3Ho7Sc
_chemical_formula_sum 'Sm12 Ho28 Sc4'
_space_group_name_H-M_alt 'C 1 2/m 1'
_space_group_IT_number 12
_space_group_name_Hall '-C 2y'
_cell_length_a 6.907
_cell_length_b 18.300
_cell_length_c 11.099
_cell_angle_alpha 90.00
_cell_angle_beta 90.09
_cell_angle_gamma 90.00
loop_
_atom_site_label
_atom_site_fract_x
_atom_site_fract_y
_atom_site_fract_z
Sm1 0.000 0.000 0.000
Sm2 0.000 0.500 0.500
Sm3 0.001 0.249 0.250
Ho1 0.247 0.341 0.027
Ho2 0.248 0.159 0.527
Ho3 0.249 0.000 0.750
Ho4 0.249 0.415 0.750
Sc1 0.000 0.000 0.500
Sc2 0.000 0.500 0.000
# N(E_F) (states/eV per atom): 1.465



Structures ranked by computed energy, the most stable listed first: *2*, *1*.



*1*
# Sm3Ho3Sc, optimized geometry, DFT GGA-PBE
data_Sm3Ho3Sc
_chemical_formula_sum 'Sm6 Ho6 Sc2'
_space_group_name_H-M_alt 'P 63/m'
_space_group_IT_number 176
_space_group_name_Hall '-P 6c'
_cell_length_a 9.4713
_cell_length_b 9.4713
_cell_length_c 5.6615
_cell_angle_alpha 90.00
_cell_angle_beta 90.00
_cell_angle_gamma 120.00
loop_
_atom_site_label
_atom_site_fract_x
_atom_site_fract_y
_atom_site_fract_z
Sm1 0.0523 0.2450 0.2500
Ho1 0.0963 0.4799 0.7500
Sc1 0.3333 0.6667 0.2500
# N(E_F) (states/eV per atom): 1.831



*2*
# Sm3Ho3Sc, optimized geometry, DFT GGA-PBE
data_Sm3Ho3Sc
_chemical_formula_sum 'Sm18 Ho18 Sc6'
_space_group_name_H-M_alt 'R -3'
_space_group_IT_number 148
_space_group_name_Hall '-R 3'
_cell_length_a 8.5730
_cell_length_b 8.5730
_cell_length_c 21.4642
_cell_angle_alpha 90.00
_cell_angle_beta 90.00
_cell_angle_gamma 120.00
loop_
_atom_site_label
_atom_site_fract_x
_atom_site_fract_y
_atom_site_fract_z
Sm1 0.0122 0.7644 0.0574
Ho1 0.0565 0.7820 0.2155
Sc1 0.0000 0.0000 0.3452
# N(E_F) (states/eV per atom): 1.458



Structures ranked by computed energy, the most stable listed first: *1*, *2*.



*1*
# Sm2Ho3Sc, optimized geometry, DFT GGA-PBE
data_Sm2Ho3Sc
_chemical_formula_sum 'Sm8 Ho12 Sc4'
_space_group_name_H-M_alt 'C 1 2/m 1'
_space_group_IT_number 12
_space_group_name_Hall '-C 2y'
_cell_length_a 17.504
_cell_length_b 3.442
_cell_length_c 14.031
_cell_angle_alpha 90.00
_cell_angle_beta 117.20
_cell_angle_gamma 90.00
loop_
_atom_site_label
_atom_site_fract_x
_atom_site_fract_y
_atom_site_fract_z
Sm1 0.154 0.000 0.470
Sm2 0.179 0.500 0.878
Ho1 0.037 0.500 0.215
Ho2 0.099 0.000 0.027
Ho3 0.240 0.000 0.293
Sc1 0.063 0.000 0.641
# N(E_F) (states/eV per atom): 1.696



*2*
# Sm2Ho3Sc, optimized geometry, DFT GGA-PBE
data_Sm2Ho3Sc
_chemical_formula_sum 'Sm4 Ho6 Sc2'
_space_group_name_H-M_alt 'C m m m'
_space_group_IT_number 65
_space_group_name_Hall '-C 2 2'
_cell_length_a 5.776
_cell_length_b 11.098
_cell_length_c 5.784
_cell_angle_alpha 90.00
_cell_angle_beta 90.00
_cell_angle_gamma 90.00
loop_
_atom_site_label
_atom_site_fract_x
_atom_site_fract_y
_atom_site_fract_z
Sm1 0.000 0.160 0.000
Ho1 0.000 0.000 0.500
Ho2 0.000 0.341 0.500
Sc1 0.000 0.500 0.000
# N(E_F) (states/eV per atom): 2.126



Structures ranked by computed energy, the most stable listed first: *2*, *1*.